(1)
Here is an optimized crystal structure of BeRhCl3 from Alexandria. Energies are from GGA-PBE.

Computed properties:
- E_form (uncorrected) (eV per atom) = 0.286
- offset from the most stable computed form (eV per formula unit) = 1.517
- volume (A^3/atom) = 21.84
- symmetry = Pm-3m

a b c (Å): 4.780 4.780 4.780
angles (deg): 90.00 90.00 90.00
Fractional positions:
Be  0.000  0.000  0.000
Rh  0.500  0.500  0.500
Cl  0.000  0.500  0.500
Cl  0.500  0.000  0.500
Cl  0.500  0.500  0.000


(2)
Here is an optimized crystal structure of BeRh2Cl from Alexandria. Energies are from GGA-PBE.

Computed properties:
- E_form (uncorrected) (eV per atom) = -0.253
- offset from the most stable computed form (eV per formula unit) = 0.146
- volume (A^3/atom) = 15.25
- symmetry = P2_1/m

a b c (Å): 2.847 2.901 14.823
angles (deg): 90.00 94.72 90.00
Fractional positions:
Be  0.129  0.250  0.217
Be  0.871  0.750  0.783
Rh  0.224  0.250  0.439
Rh  0.329  0.250  0.684
Rh  0.671  0.750  0.316
Rh  0.776  0.750  0.561
Cl  0.412  0.750  0.878
Cl  0.588  0.250  0.122


(3)
Here is an optimized crystal structure of BeRhCl from Alexandria. Energies are from GGA-PBE.

Computed properties:
- E_form (uncorrected) (eV per atom) = 0.027
- offset from the most stable computed form (eV per formula unit) = 1.771
- volume (A^3/atom) = 15.61
- symmetry = Imma

a b c (Å): 5.759 5.759 5.759
angles (deg): 115.85 74.46 146.29
Fractional positions:
Be  0.500  0.000  0.000
Be  0.500  0.500  0.500
Rh  0.024  0.274  0.750
Rh  0.976  0.726  0.250
Cl  0.000  0.500  0.500
Cl  0.500  0.500  0.000


(4)
Here is an optimized crystal structure of BeRh2Cl from Alexandria. Energies are from GGA-PBE.

Computed properties:
- E_form (uncorrected) (eV per atom) = 0.441
- offset from the most stable computed form (eV per formula unit) = 2.919
- volume (A^3/atom) = 13.82
- symmetry = I-4m2

a b c (Å): 5.304 5.304 5.304
angles (deg): 142.35 142.35 54.30
Fractional positions:
Be  0.000  0.000  0.000
Rh  0.500  0.500  0.000
Rh  0.750  0.250  0.500
Cl  0.250  0.750  0.500


(5)
Here is an optimized crystal structure of BeRh2Cl from Alexandria. Energies are from GGA-PBE.

Computed properties:
- E_form (uncorrected) (eV per atom) = 0.145
- offset from the most stable computed form (eV per formula unit) = 1.737
- volume (A^3/atom) = 13.78
- symmetry = C2/m

a b c (Å): 4.291 4.291 4.884
angles (deg): 100.45 100.45 38.65
Fractional positions:
Be  0.000  0.000  0.000
Rh  0.281  0.281  0.785
Rh  0.719  0.719  0.215
Cl  0.500  0.500  0.500


(6)
Here is an optimized crystal structure of Be2RhCl from Alexandria. Energies are from GGA-PBE.

Computed properties:
- E_form (uncorrected) (eV per atom) = -0.475
- offset from the most stable computed form (eV per formula unit) = 0.000
- volume (A^3/atom) = 13.74
- symmetry = P4/mmm

a b c (Å): 2.976 2.976 6.209
angles (deg): 90.00 90.00 90.00
Fractional positions:
Be  0.000  0.000  0.179
Be  0.000  0.000  0.821
Rh  0.500  0.500  0.000
Cl  0.000  0.000  0.500